1.
DFT (GGA-PBEsol) results for a geometry-optimized Co5Te6 structure.

## Properties
ΔE_f (raw)	-177	meV per atom

Unit cell a=6.4614 b=6.4614 c=6.4614 alpha=61.81 beta=61.81 gamma=61.81
Fractional coordinates of all 11 atoms:
1 Co 0.0000 0.0000 0.0000
2 Co 0.1668 0.1668 0.1668
3 Co 0.3390 0.3390 0.3390
4 Co 0.6610 0.6610 0.6610
5 Co 0.8332 0.8332 0.8332
6 Te 0.0770 0.4181 0.7487
7 Te 0.2513 0.9230 0.5819
8 Te 0.4181 0.7487 0.0770
9 Te 0.5819 0.2513 0.9230
10 Te 0.7487 0.0770 0.4181
11 Te 0.9230 0.5819 0.2513


2.
DFT (GGA-PBEsol) results for a geometry-optimized Ti3CoTe structure.

## Properties
ΔE_f (raw)	1232	meV per atom

Unit cell a=4.8626 b=4.8626 c=4.8626 alpha=90.00 beta=90.00 gamma=90.00
Fractional coordinates of all 5 atoms:
1 Ti 0.0000 0.0000 0.5000
2 Ti 0.0000 0.5000 0.0000
3 Ti 0.5000 0.0000 0.0000
4 Co 0.5000 0.5000 0.5000
5 Te 0.0000 0.0000 0.0000